{"formula": "FeGeIr2", "functional": "GGA-PBE", "state": "optimized geometry", "energy_ev_per_cell": -29.9, "space_group": "No. 216", "cell": [[-0.459, -1.542, 4.005], [-3.553, 0.918, 2.272], [-2.905, -3.089, 0.804]], "species": ["Ge", "Fe", "Ir", "Ir"], "fractional_positions": [[0.500, 0.500, 0.500], [0.250, 0.250, 0.250], [0.000, 0.000, 0.000], [0.750, 0.750, 0.750]]}


{"formula": "Fe6GeIr", "functional": "GGA-PBE", "state": "optimized geometry", "energy_ev_per_cell": -63.8, "space_group": "No. 123", "cell": [[4.096, 0.000, 0.000], [0.000, 4.096, 0.000], [0.000, 0.000, 5.796]], "species": ["Fe", "Fe", "Fe", "Fe", "Fe", "Fe", "Ir", "Ge"], "fractional_positions": [[0.500, 0.000, 0.752], [0.500, 0.000, 0.248], [0.000, 0.000, 0.500], [0.500, 0.500, 0.000], [0.000, 0.500, 0.248], [0.000, 0.500, 0.752], [0.500, 0.500, 0.500], [0.000, 0.000, 0.000]]}


{"formula": "Li4FeGe2Ir", "functional": "GGA-PBE", "state": "optimized geometry", "energy_ev_per_cell": -36.2, "space_group": "No. 115", "cell": [[-1.029, 3.373, 2.218], [-3.790, -0.018, -1.730], [-1.994, -3.504, 4.405]], "species": ["Li", "Li", "Li", "Li", "Ge", "Ge", "Ir", "Fe"], "fractional_positions": [[0.500, 0.500, 0.000], [0.000, 0.000, 0.500], [0.500, 0.000, 0.747], [0.000, 0.500, 0.253], [0.500, 0.000, 0.255], [0.000, 0.500, 0.745], [0.000, 0.000, 0.000], [0.500, 0.500, 0.500]]}


{"formula": "LuFeGeIr", "functional": "GGA-PBE", "state": "optimized geometry", "relative_energy_kj_per_mol_atoms": 0.00, "energy_ev_per_cell": -27.7, "space_group": "No. 216", "cell": [[-1.657, -3.654, 1.864], [-3.703, -1.816, -1.601], [0.182, -3.859, -2.155]], "species": ["Ge", "Ir", "Fe", "Lu"], "fractional_positions": [[0.000, 0.000, 0.000], [0.250, 0.250, 0.250], [0.750, 0.750, 0.750], [0.500, 0.500, 0.500]]}


{"formula": "LuFeGeIr", "functional": "GGA-PBE", "state": "optimized geometry", "relative_energy_kj_per_mol_atoms": 19.41, "energy_ev_per_cell": -26.9, "space_group": "No. 216", "cell": [[2.893, -3.548, 0.118], [-1.359, -4.113, -1.488], [1.698, -1.700, -3.899]], "species": ["Lu", "Ge", "Ir", "Fe"], "fractional_positions": [[0.250, 0.250, 0.250], [0.000, 0.000, 0.000], [0.500, 0.500, 0.500], [0.750, 0.750, 0.750]]}


{"formula": "MgFeGeIr", "functional": "GGA-PBE", "state": "optimized geometry", "relative_energy_kj_per_mol_atoms": 0.00, "energy_ev_per_cell": -23.9, "space_group": "No. 216", "cell": [[-2.278, -2.730, 2.321], [-4.243, 0.126, -0.131], [-2.159, -3.121, -1.906]], "species": ["Ge", "Ir", "Fe", "Mg"], "fractional_positions": [[0.000, 0.000, 0.000], [0.250, 0.250, 0.250], [0.750, 0.750, 0.750], [0.500, 0.500, 0.500]]}


{"formula": "FeGeMoIr", "functional": "GGA-PBE", "state": "optimized geometry", "relative_energy_kj_per_mol_atoms": 0.00, "energy_ev_per_cell": -32.2, "space_group": "No. 216", "cell": [[0.000, 3.054, 3.054], [3.054, 0.000, 3.054], [3.054, 3.054, 0.000]], "species": ["Ir", "Ge", "Mo", "Fe"], "fractional_positions": [[0.500, 0.500, 0.500], [0.000, 0.000, 0.000], [0.250, 0.250, 0.250], [0.750, 0.750, 0.750]]}


{"formula": "FeNiGeIr", "functional": "GGA-PBE", "state": "optimized geometry", "relative_energy_kj_per_mol_atoms": 0.00, "energy_ev_per_cell": -27.7, "space_group": "No. 216", "cell": [[0.000, 2.948, 2.948], [2.948, 0.000, 2.948], [2.948, 2.948, 0.000]], "species": ["Ir", "Ni", "Ge", "Fe"], "fractional_positions": [[0.250, 0.250, 0.250], [0.500, 0.500, 0.500], [0.000, 0.000, 0.000], [0.750, 0.750, 0.750]]}


{"formula": "FeNiGeIr", "functional": "GGA-PBE", "state": "optimized geometry", "relative_energy_kj_per_mol_atoms": 11.29, "energy_ev_per_cell": -27.3, "space_group": "No. 216", "cell": [[-1.671, -3.594, -1.264], [-3.691, -0.017, -1.919], [-0.229, -0.873, -4.061]], "species": ["Ge", "Ni", "Fe", "Ir"], "fractional_positions": [[0.000, 0.000, 0.000], [0.250, 0.250, 0.250], [0.750, 0.750, 0.750], [0.500, 0.500, 0.500]]}


{"formula": "FeGeIrPt", "functional": "GGA-PBE", "state": "optimized geometry", "relative_energy_kj_per_mol_atoms": 0.00, "energy_ev_per_cell": -27.8, "space_group": "No. 216", "cell": [[4.202, 0.045, 1.106], [1.252, 1.897, 3.704], [1.399, -2.429, 3.321]], "species": ["Pt", "Ir", "Fe", "Ge"], "fractional_positions": [[0.500, 0.500, 0.500], [0.250, 0.250, 0.250], [0.750, 0.750, 0.750], [0.000, 0.000, 0.000]]}


{"formula": "ScFeGeIr", "functional": "GGA-PBE", "state": "optimized geometry", "relative_energy_kj_per_mol_atoms": 0.00, "energy_ev_per_cell": -30.1, "space_group": "No. 216", "cell": [[2.942, -3.162, -0.196], [1.102, -2.153, 3.584], [-1.215, -4.118, 0.508]], "species": ["Sc", "Ir", "Fe", "Ge"], "fractional_positions": [[0.500, 0.500, 0.500], [0.250, 0.250, 0.250], [0.750, 0.750, 0.750], [0.000, 0.000, 0.000]]}


{"formula": "ScFeGeIr", "functional": "GGA-PBE", "state": "optimized geometry", "relative_energy_kj_per_mol_atoms": 25.05, "energy_ev_per_cell": -29.1, "space_group": "No. 216", "cell": [[0.841, 0.168, 4.376], [-3.305, 0.833, 2.875], [-1.490, -3.236, 2.682]], "species": ["Fe", "Sc", "Ge", "Ir"], "fractional_positions": [[0.750, 0.750, 0.750], [0.250, 0.250, 0.250], [0.000, 0.000, 0.000], [0.500, 0.500, 0.500]]}


{"formula": "TaFeGeIr", "functional": "GGA-PBE", "state": "optimized geometry", "relative_energy_kj_per_mol_atoms": 18.36, "energy_ev_per_cell": -33.7, "space_group": "No. 216", "cell": [[0.000, 3.115, 3.115], [3.115, 0.000, 3.115], [3.115, 3.115, 0.000]], "species": ["Ge", "Fe", "Ta", "Ir"], "fractional_positions": [[0.000, 0.000, 0.000], [0.750, 0.750, 0.750], [0.250, 0.250, 0.250], [0.500, 0.500, 0.500]]}


{"formula": "TaFeGeIr", "functional": "GGA-PBE", "state": "optimized geometry", "relative_energy_kj_per_mol_atoms": 0.00, "energy_ev_per_cell": -34.5, "space_group": "No. 216", "cell": [[-0.782, -3.498, 2.495], [-2.982, -2.941, -1.236], [1.262, -3.961, -1.336]], "species": ["Ir", "Ge", "Fe", "Ta"], "fractional_positions": [[0.250, 0.250, 0.250], [0.000, 0.000, 0.000], [0.750, 0.750, 0.750], [0.500, 0.500, 0.500]]}


{"formula": "FeGeIrW", "functional": "GGA-PBE", "state": "optimized geometry", "relative_energy_kj_per_mol_atoms": 1.26, "energy_ev_per_cell": -34.0, "space_group": "No. 216", "cell": [[0.000, 3.065, 3.065], [3.065, 0.000, 3.065], [3.065, 3.065, 0.000]], "species": ["Ge", "W", "Fe", "Ir"], "fractional_positions": [[0.000, 0.000, 0.000], [0.250, 0.250, 0.250], [0.750, 0.750, 0.750], [0.500, 0.500, 0.500]]}


{"formula": "FeGeIrW", "functional": "GGA-PBE", "state": "optimized geometry", "relative_energy_kj_per_mol_atoms": 0.00, "energy_ev_per_cell": -34.0, "space_group": "No. 216", "cell": [[-3.827, -0.293, 2.006], [-2.152, 3.596, 1.094], [-3.633, 1.073, -2.100]], "species": ["Fe", "W", "Ge", "Ir"], "fractional_positions": [[0.750, 0.750, 0.750], [0.500, 0.500, 0.500], [0.000, 0.000, 0.000], [0.250, 0.250, 0.250]]}


{"formula": "YFeGeIr", "functional": "GGA-PBE", "state": "optimized geometry", "relative_energy_kj_per_mol_atoms": 9.68, "energy_ev_per_cell": -28.5, "space_group": "No. 216", "cell": [[3.466, 0.563, 3.036], [1.512, 4.266, 1.031], [-0.853, 1.816, 4.186]], "species": ["Ge", "Y", "Fe", "Ir"], "fractional_positions": [[0.000, 0.000, 0.000], [0.250, 0.250, 0.250], [0.750, 0.750, 0.750], [0.500, 0.500, 0.500]]}


{"formula": "YFeGeIr", "functional": "GGA-PBE", "state": "optimized geometry", "relative_energy_kj_per_mol_atoms": 0.00, "energy_ev_per_cell": -28.9, "space_group": "No. 216", "cell": [[-3.448, -2.876, 0.222], [-4.121, 1.335, -1.203], [-1.860, -1.575, -3.778]], "species": ["Ir", "Y", "Fe", "Ge"], "fractional_positions": [[0.250, 0.250, 0.250], [0.500, 0.500, 0.500], [0.750, 0.750, 0.750], [0.000, 0.000, 0.000]]}


{"formula": "Zn2FeGeIr4", "functional": "GGA-PBE", "state": "optimized geometry", "energy_ev_per_cell": -52.3, "space_group": "No. 123", "cell": [[-0.781, -2.259, -3.560], [3.933, -1.696, 0.213], [-2.148, -4.560, 3.365]], "species": ["Ir", "Ir", "Ir", "Ir", "Zn", "Zn", "Ge", "Fe"], "fractional_positions": [[0.000, 0.500, 0.254], [0.000, 0.500, 0.746], [0.500, 0.000, 0.254], [0.500, 0.000, 0.746], [0.000, 0.000, 0.500], [0.500, 0.500, 0.000], [0.500, 0.500, 0.500], [0.000, 0.000, 0.000]]}


{"formula": "KFeGe", "functional": "GGA-PBE", "state": "optimized geometry", "energy_ev_per_cell": -11.3, "space_group": "No. 216", "cell": [[-4.368, -1.255, 1.132], [-3.540, 2.999, -0.645], [-3.157, -0.792, -3.369]], "species": ["K", "Fe", "Ge"], "fractional_positions": [[0.750, 0.750, 0.750], [0.000, 0.000, 0.000], [0.250, 0.250, 0.250]]}